Entry 1:
5
Lattice="-1.137 2.965 -1.574 -8.631 -1.690 -0.939 -1.289 1.149 3.095" Properties=species:S:1:pos:R:3 comment="Sc3Ag2 (PBE-GGA, optimized geometry)" relative_energy_kcal_per_mol_atoms=1.397 e_form_ev_per_atom=-0.143 space_group="No. 139" density_g_cm3=5.46 dft_energy_ev_per_atom=-5.082 pbc="T T T"
Ag -2.479 4.087 1.510
Ag -2.644 1.334 0.433
Sc -5.157 2.734 0.896
Sc -5.664 -0.192 -0.259
Sc -8.597 0.996 0.108



Entry 2:
12
Lattice="4.555 0.000 0.000 -2.278 8.041 -0.233 0.000 -3.693 7.591" Properties=species:S:1:pos:R:3 comment="Ce3YRh2 (PBE-GGA, optimized geometry)" e_form_ev_per_atom=-0.502 space_group="No. 12" density_g_cm3=8.66 dft_energy_ev_per_atom=-6.996 pbc="T T T"
Ce 0.000 2.336 4.632
Ce 2.278 4.854 4.150
Ce 2.278 -0.574 5.238
Ce 0.000 4.922 2.120
Ce 0.000 -0.506 3.208
Ce 2.278 2.012 2.727
Y 2.278 2.659 7.178
Y 0.000 1.689 0.180
Rh 0.000 4.702 5.956
Rh 2.278 -0.354 1.402
Rh 2.278 3.705 0.737
Rh 0.000 0.642 6.621



Entry 3:
20
Lattice="6.154 0.485 0.602 0.883 9.101 1.496 0.883 -0.480 9.211" Properties=species:S:1:pos:R:3 comment="ErSc3Tl (PBE-GGA, optimized geometry)" relative_energy_kcal_per_mol_atoms=0.727 e_form_ev_per_atom=-0.028 space_group="No. 15" density_g_cm3=6.57 dft_energy_ev_per_atom=-5.212 pbc="T T T"
Er 4.386 4.797 7.348
Er 6.612 3.193 5.355
Er 3.535 4.309 3.961
Er 1.309 5.913 5.953
Sc 2.300 6.248 9.249
Sc 2.543 1.160 2.930
Sc 5.620 2.857 2.060
Sc 5.377 7.945 8.378
Sc 2.534 3.608 0.853
Sc 2.309 8.800 7.300
Sc 5.386 5.497 10.456
Sc 5.611 0.306 4.008
Sc 1.297 3.388 7.956
Sc 3.546 1.813 6.001
Sc 6.623 5.718 3.353
Sc 4.375 7.292 5.308
Tl 5.499 8.685 2.575
Tl 2.422 0.421 8.733
Tl 5.499 1.620 8.264
Tl 2.422 7.486 3.045



Entry 4:
12
Lattice="7.196 0.000 0.000 -3.596 6.233 0.000 -1.201 -2.079 6.855" Properties=species:S:1:pos:R:3 comment="Ca3Y2UAs6 (PBE-GGA, optimized geometry)" e_form_ev_per_atom=-1.230 space_group="No. 12" density_g_cm3=5.32 dft_energy_ev_per_atom=-6.074 pbc="T T T"
Ca -2.357 4.131 3.428
Ca 4.756 0.023 3.428
Ca 1.200 2.077 3.428
Y 0.007 4.152 0.000
Y 3.593 2.081 0.000
U 0.000 0.000 0.000
As 3.549 2.167 5.266
As 2.457 4.253 1.581
As -1.150 1.987 1.589
As 0.103 4.157 5.266
As -0.057 -0.100 5.274
As 2.296 -0.003 1.589



Entry 5:
4
Lattice="5.014 0.003 -0.001 -0.018 5.014 -0.001 0.002 0.002 4.046" Properties=species:S:1:pos:R:3 comment="KY2Ir (PBE-GGA, optimized geometry)" relative_energy_kcal_per_mol_atoms=15.580 e_form_ev_per_atom=0.331 space_group="No. 65" density_g_cm3=6.68 dft_energy_ev_per_atom=-5.391 pbc="T T T"
Ir 2.508 0.002 2.022
K -0.008 2.508 2.022
Y 0.000 0.000 0.000
Y 2.498 2.508 -0.001



Entry 6:
5
Lattice="4.208 0.000 0.000 0.000 4.208 0.000 0.000 0.000 4.033" Properties=species:S:1:pos:R:3 comment="SnPdNF2 (PBE-GGA, optimized geometry)" relative_energy_kcal_per_mol_atoms=0.000 space_group="No. 123" density_g_cm3=6.44 dft_energy_ev_per_atom=-4.646 pbc="T T T"
N 0.000 0.000 2.017
Sn 0.000 0.000 0.000
Pd 2.104 2.104 2.017
F 0.000 2.104 0.000
F 2.104 0.000 0.000



Entry 7:
20
Lattice="-3.720 -3.799 4.389 -1.385 -5.332 -5.788 8.363 -2.673 0.462" Properties=species:S:1:pos:R:3 comment="Ce2PaIr2 (PBE-GGA, optimized geometry)" e_form_ev_per_atom=-0.613 space_group="No. 14" density_g_cm3=12.93 dft_energy_ev_per_atom=-8.430 pbc="T T T"
Ce -1.607 -3.291 1.075
Ce 0.149 -1.794 -1.557
Ce 3.109 -10.009 0.619
Ce 4.864 -8.512 -2.012
Ce -1.587 -6.564 -0.207
Ce -0.139 -6.250 -4.123
Ce 3.397 -5.554 3.186
Ce 4.845 -5.240 -0.731
Pa 1.404 -4.469 0.498
Pa 1.854 -7.335 -1.435
Pa -0.324 -5.860 3.243
Pa 3.582 -5.943 -4.181
Ir -3.065 -8.625 -1.943
Ir -0.616 -4.456 -1.674
Ir 3.873 -7.347 0.736
Ir 6.323 -3.179 1.005
Ir 1.092 -7.298 1.209
Ir 3.578 -2.987 1.633
Ir -0.321 -8.817 -2.570
Ir 2.166 -4.506 -2.146



Entry 8:
5
Lattice="-3.300 0.661 3.818 -3.861 -0.992 -3.165 0.253 -3.762 0.870" Properties=species:S:1:pos:R:3 comment="TePS2N (PBE-GGA, optimized geometry)" relative_energy_kcal_per_mol_atoms=18.410 space_group="No. 123" density_g_cm3=3.92 dft_energy_ev_per_atom=-3.638 pbc="T T T"
P -3.454 -2.047 0.762
S -1.930 -0.496 -1.582
S -1.650 0.330 1.909
Te 0.000 0.000 0.000
N 0.127 -1.881 0.435



Entry 9:
6
Lattice="5.326 0.000 0.000 2.663 4.613 0.000 2.663 1.538 4.349" Properties=species:S:1:pos:R:3 comment="CdAgPt4 (PBE-GGA, optimized geometry)" e_form_ev_per_atom=-0.086 space_group="No. 216" density_g_cm3=15.55 dft_energy_ev_per_atom=-4.741 pbc="T T T"
Ag 2.663 1.538 1.087
Cd 0.000 0.000 0.000
Pt 3.995 3.843 2.718
Pt 6.657 3.843 2.718
Pt 5.326 1.538 2.718
Pt 5.326 3.075 0.545



Entry 10:
11
Lattice="-6.126 0.637 3.183 1.121 -6.329 3.423 4.737 3.031 4.054" Properties=species:S:1:pos:R:3 comment="Y7Ga2Pb2 (PBE-GGA, optimized geometry)" e_form_ev_per_atom=-0.233 space_group="No. 65" density_g_cm3=5.84 dft_energy_ev_per_atom=-5.571 pbc="T T T"
Y 2.672 -0.198 2.954
Y -2.246 -4.297 4.088
Y -2.940 -2.464 7.705
Y 1.978 1.636 6.571
Y 0.000 0.000 0.000
Y 0.158 -2.976 6.219
Y -0.425 0.315 4.440
Ga -3.039 1.317 3.430
Ga 2.771 -3.978 7.229
Pb -0.570 -0.178 7.603
Pb 0.302 -2.483 3.056



Entry 11:
4
Lattice="-0.696 4.380 -1.734 -3.338 0.746 -3.312 -3.961 2.398 1.110" Properties=species:S:1:pos:R:3 comment="YRuAu2 (PBE-GGA, optimized geometry)" relative_energy_kcal_per_mol_atoms=4.999 e_form_ev_per_atom=-0.142 space_group="No. 216" density_g_cm3=12.70 dft_energy_ev_per_atom=-5.716 pbc="T T T"
Au 0.000 0.000 0.000
Au -1.999 1.881 -0.984
Ru -3.998 3.762 -1.968
Y -5.997 5.643 -2.952



Entry 12:
4
Lattice="1.755 0.000 13.175 -0.878 1.520 13.175 -0.878 -1.520 13.175" Properties=species:S:1:pos:R:3 comment="RuSe2I (PBE-GGA, optimized geometry)" relative_energy_kcal_per_mol_atoms=13.141 space_group="No. 166" density_g_cm3=6.08 dft_energy_ev_per_atom=-3.961 pbc="T T T"
I 0.000 0.000 19.762
Ru 0.000 0.000 0.000
Se 0.000 0.000 37.158
Se 0.000 0.000 2.367



Entry 13:
5
Lattice="3.418 0.000 0.000 0.000 3.418 0.000 1.709 1.709 6.986" Properties=species:S:1:pos:R:3 comment="MnCu2Au2 (PBE-GGA, optimized geometry)" relative_energy_kcal_per_mol_atoms=3.356 e_form_ev_per_atom=0.102 space_group="No. 139" density_g_cm3=11.72 dft_energy_ev_per_atom=-4.681 pbc="T T T"
Mn 0.000 0.000 0.000
Au 1.709 1.709 1.425
Au 3.418 3.418 5.561
Cu 3.418 1.709 3.493
Cu 1.709 3.418 3.493



Entry 14:
18
Lattice="-2.557 -3.304 -2.880 4.061 -0.530 -2.996 3.299 -7.626 5.820" Properties=species:S:1:pos:R:3 comment="Y2NbO6 (PBE-GGA, optimized geometry)" space_group="No. 136" density_g_cm3=4.66 dft_energy_ev_per_atom=-8.736 pbc="T T T"
Y 1.092 -2.524 1.926
Y 3.494 -8.254 1.898
Y 1.310 -3.206 -1.955
Y 2.207 -5.102 3.894
Nb 0.000 0.000 0.000
Nb 2.402 -5.730 -0.028
O 1.631 -3.881 0.205
O 2.193 -5.314 -1.991
O 5.633 -7.542 1.981
O 1.489 -9.279 2.054
O 3.314 -2.181 -2.110
O -0.830 -3.918 -2.038
O 2.610 -6.146 1.934
O 3.173 -7.579 -0.262
O 0.427 -1.087 -1.666
O 1.078 -2.747 -4.210
O 4.278 -4.944 -0.061
O 0.525 -6.517 0.005



Entry 15:
4
Lattice="9.450 0.043 0.026 8.870 3.261 0.026 8.870 1.600 2.841" Properties=species:S:1:pos:R:3 comment="ScOsCl2 (PBE-GGA, optimized geometry)" relative_energy_kcal_per_mol_atoms=1.575 space_group="No. 160" density_g_cm3=5.93 dft_energy_ev_per_atom=-5.792 pbc="T T T"
Sc 6.647 1.199 0.707
Os 13.771 2.484 1.465
Cl 26.475 4.775 2.817
Cl 21.083 3.803 2.243



Entry 16:
3
Lattice="-3.085 1.849 0.531 -1.340 -2.786 1.914 4.344 2.674 3.482" Properties=species:S:1:pos:R:3 comment="DyThIr (PBE-GGA, optimized geometry)" relative_energy_kcal_per_mol_atoms=3.663 e_form_ev_per_atom=-0.502 space_group="No. 107" density_g_cm3=13.13 dft_energy_ev_per_atom=-7.463 pbc="T T T"
Ir -1.457 0.313 2.889
Th 1.305 1.350 2.879
Dy 0.071 0.074 0.157



Entry 17:
15
Lattice="-6.490 -1.004 -4.516 7.197 0.418 -3.401 -1.882 -7.710 4.415" Properties=species:S:1:pos:R:3 comment="Rb3Er3SbS8 (PBE-GGA, optimized geometry)" space_group="No. 166" density_g_cm3=4.38 dft_energy_ev_per_atom=-5.105 pbc="T T T"
Rb 0.000 0.000 0.000
Rb 3.599 0.209 -1.701
Rb 0.354 -0.293 -3.958
Er -4.186 -4.357 -0.050
Er -0.587 -4.148 -1.751
Er 2.658 -3.646 0.507
Sb -0.941 -3.855 2.208
S 1.551 -2.447 -1.685
S -2.726 -5.849 -1.816
S -1.660 -2.973 -3.985
S 0.485 -5.323 0.483
S -5.343 -3.188 -2.244
S 4.168 -5.108 -1.257
S -2.023 -2.675 0.065
S 0.848 -5.621 -3.566



Entry 18:
4
Lattice="4.734 0.000 0.000 2.367 4.100 0.000 2.367 1.367 3.866" Properties=species:S:1:pos:R:3 comment="NaPdPtPb (PBE-GGA, optimized geometry)" e_form_ev_per_atom=-0.175 space_group="No. 216" density_g_cm3=11.77 dft_energy_ev_per_atom=-4.240 pbc="T T T"
Pb 2.367 1.367 0.966
Na 7.101 4.100 2.899
Pd 0.000 0.000 0.000
Pt 4.734 2.733 1.933



Entry 19:
18
Lattice="6.820 0.000 0.000 0.000 9.290 0.000 0.000 -4.645 8.047" Properties=species:S:1:pos:R:3 comment="Nd5ErAl3 (PBE-GGA, optimized geometry)" e_form_ev_per_atom=-0.232 space_group="No. 193" density_g_cm3=6.32 dft_energy_ev_per_atom=-4.636 pbc="T T T"
Nd 0.000 4.645 2.688
Nd 3.410 0.000 5.359
Nd 0.000 0.000 5.359
Nd 3.410 4.645 2.688
Nd 5.115 3.086 5.350
Nd 5.115 7.731 2.697
Nd 5.115 3.117 0.000
Nd 1.705 1.559 2.697
Nd 1.705 -3.086 5.350
Nd 1.705 6.173 0.000
Er 0.000 0.000 0.000
Er 3.410 0.000 0.000
Al 5.115 1.515 2.624
Al 5.115 6.159 5.423
Al 5.115 6.261 0.000
Al 1.705 3.130 5.423
Al 1.705 -1.515 2.624
Al 1.705 3.029 0.000



Entry 20:
4
Lattice="0.000 3.812 3.812 3.812 0.000 3.812 3.812 3.812 0.000" Properties=species:S:1:pos:R:3 comment="CaScI2 (PBE-GGA, optimized geometry)" relative_energy_kcal_per_mol_atoms=3.071 space_group="No. 225" density_g_cm3=5.08 dft_energy_ev_per_atom=-3.435 pbc="T T T"
I 1.906 1.906 1.906
I 5.717 5.717 5.717
Sc 3.812 3.812 3.812
Ca 0.000 0.000 0.000